# 1
A geometry-optimized ZrCdFe2 structure, computed with PBE.

abc: 7.139 7.139 5.620
angles: 90.00 90.00 90.00
Atoms (fractional coordinates):
Zr1 0.000 0.000 0.000
Zr2 0.000 0.500 0.250
Zr3 0.500 0.000 0.750
Zr4 0.500 0.500 0.500
Cd1 0.000 0.000 0.500
Cd2 0.000 0.500 0.750
Cd3 0.500 0.000 0.250
Cd4 0.500 0.500 0.000
Fe1 0.249 0.250 0.125
Fe2 0.250 0.749 0.375
Fe3 0.250 0.751 0.875
Fe4 0.251 0.250 0.625
Fe5 0.749 0.750 0.625
Fe6 0.750 0.249 0.875
Fe7 0.750 0.251 0.375
Fe8 0.751 0.750 0.125

## Properties
The size of the total moment is 14.5 μB per cell. As for the crystal system: tetragonal. The calculation puts the formation energy at 602 meV per atom.

=====

# 2
A geometry-optimized CsPa2ZnN5 structure, computed with PBE.

abc: 7.781 7.781 7.781
angles: 128.78 128.78 75.37
Atoms (fractional coordinates):
Cs1 0.250 0.250 0.000
Cs2 0.750 0.750 0.000
Pa1 0.192 0.692 0.884
Pa2 0.308 0.192 0.500
Pa3 0.692 0.808 0.500
Pa4 0.808 0.308 0.116
Zn1 0.250 0.750 0.500
Zn2 0.750 0.250 0.500
N1 0.000 0.000 0.000
N2 0.012 0.262 0.500
N3 0.238 0.488 0.500
N4 0.262 0.762 0.251
N5 0.488 0.988 0.251
N6 0.500 0.500 0.000
N7 0.512 0.012 0.749
N8 0.738 0.238 0.749
N9 0.762 0.512 0.500
N10 0.988 0.738 0.500

## Properties
The size of the total moment is 4.0 μB per cell. As for the crystal system: tetragonal. The uncorrected formation energy comes out at -580.9 meV per atom.

=====

# 3
A geometry-optimized BaSiRu2 structure, computed with PBE.

abc: 2.975 3.668 7.355
angles: 90.00 90.00 90.00
Atoms (fractional coordinates):
Ba1 0.000 0.000 0.000
Si1 0.500 0.500 0.673
Ru1 0.000 0.000 0.506
Ru2 0.500 0.500 0.348

## Properties
The size of the total moment is 0.0 μB per cell. As for the crystal system: orthorhombic. The uncorrected formation energy comes out at 246.2 meV per atom.

=====

# 4
A geometry-optimized TaCu4Br structure, computed with PBE.

abc: 5.004 5.004 5.004
angles: 60.00 60.00 60.00
Atoms (fractional coordinates):
Ta1 0.000 0.000 0.000
Cu1 0.375 0.375 0.375
Cu2 0.375 0.375 0.876
Cu3 0.375 0.876 0.375
Cu4 0.876 0.375 0.375
Br1 0.750 0.750 0.750

## Properties
The size of the total moment is 0.0 μB per cell. As for the crystal system: cubic. The uncorrected formation energy comes out at 544.0 meV per atom.

=====

# 5
A geometry-optimized SbOsRu2 structure, computed with PBE.

abc: 2.909 2.909 7.414
angles: 90.00 90.00 90.00
Atoms (fractional coordinates):
Sb1 0.000 0.000 0.000
Os1 0.000 0.000 0.500
Ru1 0.500 0.500 0.262
Ru2 0.500 0.500 0.738

## Properties
The size of the total moment is 0.0 μB per cell. As for the crystal system: tetragonal. The uncorrected formation energy comes out at 305.2 meV per atom.

=====

# 6
A geometry-optimized Tb3CoNi8 structure, computed with PBE.

abc: 8.632 8.632 8.632
angles: 33.53 33.53 33.53
Atoms (fractional coordinates):
Tb1 0.000 0.000 0.000
Tb2 0.130 0.130 0.130
Tb3 0.521 0.521 0.521
Co1 0.645 0.645 0.645
Ni1 0.066 0.569 0.569
Ni2 0.073 0.073 0.567
Ni3 0.073 0.567 0.073
Ni4 0.319 0.319 0.319
Ni5 0.567 0.073 0.073
Ni6 0.569 0.066 0.569
Ni7 0.569 0.569 0.066
Ni8 0.820 0.820 0.820

## Properties
The size of the total moment is 3.0 μB per cell. As for the crystal system: trigonal. The calculation puts the formation energy at -297 meV per atom.

=====

# 7
A geometry-optimized Cs4Sm3ErS8 structure, computed with PBE.

abc: 9.404 9.404 9.404
angles: 52.59 52.59 52.59
Atoms (fractional coordinates):
Cs1 0.000 0.000 0.000
Cs2 0.000 0.500 0.500
Cs3 0.500 0.000 0.500
Cs4 0.500 0.500 0.000
Sm1 0.000 0.000 0.500
Sm2 0.000 0.500 0.000
Sm3 0.500 0.000 0.000
Er1 0.500 0.500 0.500
S1 0.229 0.229 0.229
S2 0.234 0.724 0.724
S3 0.276 0.276 0.766
S4 0.276 0.766 0.276
S5 0.724 0.234 0.724
S6 0.724 0.724 0.234
S7 0.766 0.276 0.276
S8 0.771 0.771 0.771

## Properties
The size of the total moment is 0.0 μB per cell. As for the crystal system: trigonal. The uncorrected formation energy comes out at -1820.1 meV per atom.

=====

# 8
A geometry-optimized Ac8NiTe4S3 structure, computed with PBE.

abc: 9.233 9.233 9.233
angles: 57.96 57.96 57.96
Atoms (fractional coordinates):
Ac1 0.239 0.239 0.239
Ac2 0.246 0.735 0.735
Ac3 0.265 0.265 0.754
Ac4 0.265 0.754 0.265
Ac5 0.735 0.246 0.735
Ac6 0.735 0.735 0.246
Ac7 0.754 0.265 0.265
Ac8 0.761 0.761 0.761
Ni1 0.500 0.500 0.500
Te1 0.000 0.000 0.000
Te2 0.000 0.500 0.500
Te3 0.500 0.000 0.500
Te4 0.500 0.500 0.000
S1 0.000 0.000 0.500
S2 0.000 0.500 0.000
S3 0.500 0.000 0.000

## Properties
The size of the total moment is 0.0 μB per cell. As for the crystal system: trigonal. The uncorrected formation energy comes out at -1520.8 meV per atom.

=====

# 9
A geometry-optimized HoTmAlPt structure, computed with PBE.

abc: 7.045 7.045 7.045
angles: 90.00 90.00 90.00
Atoms (fractional coordinates):
Ho1 0.000 0.000 0.000
Ho2 0.000 0.500 0.500
Ho3 0.500 0.000 0.500
Ho4 0.500 0.500 0.000
Tm1 0.000 0.000 0.500
Tm2 0.000 0.500 0.000
Tm3 0.500 0.000 0.000
Tm4 0.500 0.500 0.500
Al1 0.250 0.250 0.750
Al2 0.250 0.750 0.250
Al3 0.750 0.250 0.250
Al4 0.750 0.750 0.750
Pt1 0.250 0.250 0.250
Pt2 0.250 0.750 0.750
Pt3 0.750 0.250 0.750
Pt4 0.750 0.750 0.250

## Properties
The size of the total moment is 0.0 μB per cell. As for the crystal system: cubic. The calculation puts the formation energy at -766 meV per atom.

=====

# 10
A geometry-optimized KFeCuIr2 structure, computed with PBE.

abc: 4.495 4.495 4.798
angles: 90.00 90.00 90.00
Atoms (fractional coordinates):
K1 0.000 0.000 0.000
Fe1 0.500 0.500 0.500
Cu1 0.500 0.500 0.000
Ir1 0.000 0.500 0.500
Ir2 0.500 0.000 0.500

## Properties
The size of the total moment is 0.0 μB per cell. As for the crystal system: tetragonal. The calculation puts the formation energy at 1031 meV per atom.

=====

# 11
A geometry-optimized MgBeAu3 structure, computed with PBE.

abc: 7.641 5.507 9.150
angles: 90.00 117.67 90.00
Atoms (fractional coordinates):
Mg1 0.238 0.176 0.041
Mg2 0.238 0.324 0.541
Mg3 0.762 0.676 0.459
Mg4 0.762 0.824 0.959
Be1 0.295 0.736 0.371
Be2 0.295 0.764 0.871
Be3 0.705 0.236 0.129
Be4 0.705 0.264 0.629
Au1 0.069 0.061 0.246
Au2 0.069 0.439 0.746
Au3 0.177 0.673 0.074
Au4 0.177 0.827 0.574
Au5 0.439 0.140 0.852
Au6 0.439 0.360 0.352
Au7 0.561 0.640 0.648
Au8 0.561 0.860 0.148
Au9 0.823 0.173 0.426
Au10 0.823 0.327 0.926
Au11 0.931 0.561 0.254
Au12 0.931 0.939 0.754

## Properties
The size of the total moment is 0.0 μB per cell. As for the crystal system: monoclinic. The value obtained for the energy above the lowest structure with this stoichiometry is 0.26 eV per formula unit. The calculation puts the formation energy at -262 meV per atom.

=====

# 12
A geometry-optimized Y3NiRh8 structure, computed with PBE.

abc: 9.197 9.197 9.197
angles: 33.41 33.41 33.41
Atoms (fractional coordinates):
Y1 0.000 0.000 0.000
Y2 0.131 0.131 0.131
Y3 0.519 0.519 0.519
Ni1 0.651 0.651 0.651
Rh1 0.068 0.567 0.567
Rh2 0.070 0.070 0.569
Rh3 0.070 0.569 0.070
Rh4 0.318 0.318 0.318
Rh5 0.567 0.068 0.567
Rh6 0.567 0.567 0.068
Rh7 0.569 0.070 0.070
Rh8 0.819 0.819 0.819

## Properties
The size of the total moment is 0.9 μB per cell. As for the crystal system: trigonal. The calculation puts the formation energy at -478 meV per atom.

=====

# 13
A geometry-optimized Ac3Ag11 structure, computed with PBE.

abc: 8.919 8.919 8.919
angles: 148.91 112.07 76.58
Atoms (fractional coordinates):
Ac1 0.000 0.000 0.000
Ac2 0.306 0.306 0.000
Ac3 0.694 0.694 0.000
Ag1 0.031 0.672 0.359
Ag2 0.154 0.875 0.280
Ag3 0.294 0.500 0.794
Ag4 0.314 0.672 0.641
Ag5 0.405 0.125 0.280
Ag6 0.500 0.000 0.500
Ag7 0.595 0.875 0.720
Ag8 0.686 0.328 0.359
Ag9 0.706 0.500 0.206
Ag10 0.846 0.125 0.720
Ag11 0.969 0.328 0.641

## Properties
The size of the total moment is 0.0 μB per cell. As for the crystal system: orthorhombic. The calculation puts the formation energy at -221 meV per atom.

=====

# 14
A geometry-optimized MnNi2Br structure, computed with PBE.

abc: 3.822 3.822 7.789
angles: 90.00 90.00 90.00
Atoms (fractional coordinates):
Mn1 0.000 0.000 0.000
Mn2 0.500 0.500 0.500
Ni1 0.000 0.500 0.250
Ni2 0.000 0.500 0.750
Ni3 0.500 0.000 0.250
Ni4 0.500 0.000 0.750
Br1 0.000 0.000 0.500
Br2 0.500 0.500 0.000

## Properties
The size of the total moment is 10.0 μB per cell. As for the crystal system: tetragonal. The value obtained for the energy above the lowest structure with this stoichiometry is 1.20 eV per formula unit. The uncorrected formation energy comes out at 520.0 meV per atom.

=====

# 15
A geometry-optimized Ac2SnPd6Pb3 structure, computed with PBE.

abc: 4.252 4.252 17.629
angles: 90.00 90.00 90.00
Atoms (fractional coordinates):
Ac1 0.000 0.000 0.189
Ac2 0.000 0.000 0.811
Sn1 0.000 0.000 0.500
Pd1 0.000 0.500 0.407
Pd2 0.000 0.500 0.593
Pd3 0.500 0.000 0.407
Pd4 0.500 0.000 0.593
Pd5 0.500 0.500 0.150
Pd6 0.500 0.500 0.850
Pb1 0.500 0.500 0.000
Pb2 0.500 0.500 0.308
Pb3 0.500 0.500 0.692

## Properties
The size of the total moment is 0.0 μB per cell. As for the crystal system: tetragonal. The calculation puts the formation energy at -391 meV per atom.

=====

# 16
A geometry-optimized Ac2Zn2Ga3 structure, computed with PBE.

abc: 10.160 10.160 7.243
angles: 90.00 90.00 153.18
Atoms (fractional coordinates):
Ac1 0.052 0.948 0.750
Ac2 0.164 0.836 0.250
Ac3 0.836 0.164 0.750
Ac4 0.948 0.052 0.250
Zn1 0.321 0.679 0.069
Zn2 0.321 0.679 0.431
Zn3 0.679 0.321 0.569
Zn4 0.679 0.321 0.931
Ga1 0.223 0.777 0.750
Ga2 0.442 0.558 0.576
Ga3 0.442 0.558 0.924
Ga4 0.558 0.442 0.076
Ga5 0.558 0.442 0.424
Ga6 0.777 0.223 0.250

## Properties
The size of the total moment is 0.0 μB per cell. As for the crystal system: orthorhombic. The value obtained for the energy above the lowest structure with this stoichiometry is 0.00 eV per formula unit. The calculation puts the formation energy at -484 meV per atom.

=====

# 17
A geometry-optimized Tb3Mg4Ag4 structure, computed with PBE.

abc: 9.055 9.055 9.055
angles: 154.37 126.00 60.70
Atoms (fractional coordinates):
Tb1 0.000 0.000 0.000
Tb2 0.386 0.886 0.500
Tb3 0.614 0.114 0.500
Mg1 0.021 0.330 0.691
Mg2 0.361 0.670 0.691
Mg3 0.639 0.330 0.309
Mg4 0.979 0.670 0.309
Ag1 0.236 0.236 0.000
Ag2 0.304 0.500 0.804
Ag3 0.696 0.500 0.196
Ag4 0.764 0.764 0.000

## Properties
The size of the total moment is 0.0 μB per cell. As for the crystal system: orthorhombic. The calculation puts the formation energy at -216 meV per atom.

=====

# 18
A geometry-optimized Pm2Nd3Y7 structure, computed with PBE.

abc: 6.127 5.699 12.427
angles: 90.00 94.86 90.00
Atoms (fractional coordinates):
Pm1 0.138 0.000 0.291
Pm2 0.862 0.000 0.709
Nd1 0.000 0.000 0.000
Nd2 0.470 0.500 0.324
Nd3 0.530 0.500 0.676
Y1 0.043 0.500 0.827
Y2 0.273 0.000 0.561
Y3 0.410 0.000 0.840
Y4 0.500 0.500 0.000
Y5 0.590 0.000 0.160
Y6 0.727 0.000 0.439
Y7 0.957 0.500 0.173

## Properties
The size of the total moment is 0.0 μB per cell. As for the crystal system: monoclinic. The value obtained for the energy above the lowest structure with this stoichiometry is 2.64 eV per formula unit. The calculation puts the formation energy at 302 meV per atom.

=====

# 19
A geometry-optimized Ca2Be structure, computed with PBE.

abc: 6.968 7.262 3.844
angles: 90.00 90.00 90.00
Atoms (fractional coordinates):
Ca1 0.236 0.169 0.000
Ca2 0.264 0.669 0.500
Ca3 0.736 0.331 0.500
Ca4 0.764 0.831 0.000
Be1 0.000 0.500 0.000
Be2 0.500 0.000 0.500

## Properties
The size of the total moment is 0.0 μB per cell. As for the crystal system: orthorhombic. The value obtained for the energy above the lowest structure with this stoichiometry is 0.52 eV per formula unit. The calculation puts the formation energy at 401 meV per atom.

=====

# 20
A geometry-optimized Ca2RhSeN structure, computed with PBE.

abc: 5.105 5.105 3.793
angles: 90.00 90.00 90.00
Atoms (fractional coordinates):
Ca1 0.000 0.500 0.000
Ca2 0.500 0.000 0.000
Rh1 0.000 0.000 0.500
Se1 0.500 0.500 0.500
N1 0.000 0.000 0.000

## Properties
The size of the total moment is 0.0 μB per cell. As for the crystal system: tetragonal. The uncorrected formation energy comes out at -1012.3 meV per atom.